Entry 1:
{"formula": "Ba4N2F", "functional": "PBE", "state": "optimized geometry", "lattice": [[-3.9497, 0.9675, -0.3699], [0.3222, -5.7650, 4.0188], [0.8734, 7.8370, 11.1723]], "species": ["N", "N", "N", "N", "Ba", "Ba", "Ba", "Ba", "Ba", "Ba", "Ba", "Ba", "F", "F"], "frac_coords": [[0.8569, 0.7137, 0.9309], [0.8569, 0.7137, 0.5691], [0.1431, 0.2863, 0.0691], [0.1431, 0.2863, 0.4309], [0.2313, 0.4626, 0.6124], [0.5000, 0.0000, 0.5000], [0.7687, 0.5374, 0.1124], [0.0512, 0.1023, 0.2500], [0.2313, 0.4626, 0.8876], [0.5000, 0.0000, 0.0000], [0.7687, 0.5374, 0.3876], [0.9488, 0.8977, 0.7500], [0.5970, 0.1940, 0.7500], [0.4030, 0.8060, 0.2500]], "vol_a3_per_atom": 26.9, "e_tot_ev_per_cell": -65.6, "raw_formation_energy_ev_per_atom": -0.942, "sg": "Cmcm"}

=====

Entry 2:
{"formula": "Rb2CrBr", "functional": "PBE", "state": "optimized geometry", "lattice": [[9.4002, 0.0000, 0.0000], [0.0000, 9.4002, 0.0000], [4.7001, 4.7001, 5.0800]], "species": ["Cr", "Cr", "Rb", "Rb", "Rb", "Rb", "Br", "Br"], "frac_coords": [[0.5000, 0.5000, 0.0000], [0.2500, 0.7500, 0.5000], [0.8750, 0.9133, 0.7500], [0.0867, 0.6250, 0.2500], [0.6633, 0.1250, 0.2500], [0.3750, 0.3367, 0.7500], [0.7500, 0.2500, 0.5000], [0.0000, 0.0000, 0.0000]], "vol_a3_per_atom": 56.1, "de_polymorph_ev_per_atom": 0.000, "e_tot_ev_per_cell": -26.9, "raw_formation_energy_ev_per_atom": -0.054, "sg": "I-42d"}

=====

Entry 3:
{"formula": "Al3BP", "functional": "PBE", "state": "optimized geometry", "lattice": [[4.1845, 0.0000, 0.0000], [0.0000, 4.1845, 0.0000], [0.0000, 0.0000, 4.1845]], "species": ["Al", "Al", "Al", "B", "P"], "frac_coords": [[0.0000, 0.5000, 0.0000], [0.0000, 0.0000, 0.5000], [0.5000, 0.0000, 0.0000], [0.0000, 0.0000, 0.0000], [0.5000, 0.5000, 0.5000]], "vol_a3_per_atom": 14.7, "de_polymorph_ev_per_atom": 0.000, "e_tot_ev_per_cell": -22.6, "e_form_ev_per_fu": 0.7, "sg": "Pm-3m"}